DFT (PBE) results for Zr3Hg4 after structural relaxation.

a b c (Å): 5.8271 5.8271 5.5409
angles (deg): 90.00 90.00 120.00
Atoms (fractional coordinates):
Zr: 0.0000 0.5000 0.0000
Zr: 0.5000 0.5000 0.0000
Zr: 0.5000 0.0000 0.0000
Hg: 0.0000 0.0000 0.2521
Hg: 0.0000 0.0000 0.7479
Hg: 0.6667 0.3333 0.5000
Hg: 0.3333 0.6667 0.5000

Results
**Space group**: P6/mmm
**Excess energy over the best structure of this formula in the dataset**: 150 meV per atom
**Energy relative to the elements**: 0.05 eV/atom



DFT (PBE) results for TbScPdPt after structural relaxation.

a b c (Å): 3.6348 4.4967 5.4068
angles (deg): 90.00 109.64 90.00
Atoms (fractional coordinates):
Tb: 0.8603 0.5000 0.7206
Sc: 0.1362 0.0000 0.2723
Pd: 0.5890 0.5000 0.1779
Pt: 0.4146 0.0000 0.8292

Results
**Space group**: Amm2
**Excess energy over the best structure of this formula in the dataset**: 0 meV per atom
**Energy relative to the elements**: -1.04 eV/atom



DFT (PBE) results for NiC after structural relaxation.

a b c (Å): 4.0546 4.0546 4.0546
angles (deg): 90.00 90.00 90.00
Atoms (fractional coordinates):
Ni: 0.0271 0.0271 0.0271
Ni: 0.4729 0.9729 0.5271
Ni: 0.9729 0.5271 0.4729
Ni: 0.5271 0.4729 0.9729
C: 0.4667 0.4667 0.4667
C: 0.0333 0.5333 0.9667
C: 0.5333 0.9667 0.0333
C: 0.9667 0.0333 0.5333

Results
**Space group**: P2_13
**Energy relative to the elements**: 1.09 eV/atom



DFT (PBE) results for KZr3Si after structural relaxation.

a b c (Å): 4.8124 4.8124 4.8124
angles (deg): 90.00 90.00 90.00
Last column: magnetic moment on the atom in μB.
Atoms (fractional coordinates):
K: 0.0000 0.0000 0.0000  0.08
Si: 0.5000 0.5000 0.5000  -0.01
Zr: 0.0000 0.5000 0.0000  0.40
Zr: 0.0000 0.0000 0.5000  0.32
Zr: 0.5000 0.0000 0.0000  0.45

Results
**Space group**: Pm-3m
**Excess energy over the best structure of this formula in the dataset**: 1443 meV per atom
**Energy relative to the elements, uncorrected**: 1995 meV per atom



DFT (PBE) results for Li3Tl3Ag after structural relaxation.

a b c (Å): 6.6553 6.6553 6.6741
angles (deg): 90.00 90.00 88.82
Atoms (fractional coordinates):
Li: 0.0001 0.0001 0.7780
Li: 0.5002 0.9998 0.2349
Li: 0.9998 0.5002 0.2349
Li: 0.4998 0.0002 0.7651
Li: 0.0002 0.4998 0.7651
Li: 0.9999 0.9999 0.2220
Tl: 0.2619 0.2619 0.4997
Tl: 0.2530 0.7470 0.5000
Tl: 0.7470 0.2530 0.5000
Tl: 0.2952 0.7048 0.0000
Tl: 0.7048 0.2952 0.0000
Tl: 0.7381 0.7381 0.5003
Ag: 0.2499 0.2499 0.0003
Ag: 0.7501 0.7501 0.9997

Results
**Space group**: Cmmm
**Energy relative to the elements**: -0.16 eV/atom



DFT (PBE) results for SrMnPb after structural relaxation.

a b c (Å): 5.0627 5.0627 5.0627
angles (deg): 60.00 60.00 60.00
Last column: magnetic moment on the atom in μB.
Atoms (fractional coordinates):
Mn: 0.7500 0.7500 0.7500  4.08
Pb: 0.0000 0.0000 0.0000  -0.01
Sr: 0.5000 0.5000 0.5000  0.08

Results
**Space group**: F-43m
**Energy relative to the elements**: 0.17 eV/atom



DFT (PBE) results for PuIn2AuO8 after structural relaxation.

a b c (Å): 4.9828 4.9723 6.8284
angles (deg): 85.06 94.89 94.43
Last column: magnetic moment on the atom in μB.
Atoms (fractional coordinates):
Pu: 0.0000 0.0000 0.0000  1.42
In: 0.4691 0.5309 0.7395  0.00
In: 0.5309 0.4691 0.2605  0.00
Au: 0.0000 0.0000 0.5000  -0.01
O: 0.2114 0.7842 0.1766  -0.07
O: 0.6963 0.6999 0.9998  -0.07
O: 0.8306 0.1724 0.2462  -0.04
O: 0.7886 0.2158 0.8234  -0.07
O: 0.3037 0.3001 0.0002  -0.07
O: 0.1694 0.8276 0.7538  -0.04
O: 0.6966 0.6998 0.4995  -0.01
O: 0.3034 0.3002 0.5005  -0.01

Results
**Space group**: P-1
**Energy relative to the elements, uncorrected**: -1456 meV per atom



DFT (PBE) results for Li2Si after structural relaxation.

a b c (Å): 6.7661 6.7661 6.7661
angles (deg): 157.45 157.45 32.11
Atoms (fractional coordinates):
Li: 0.3513 0.3513 0.0000
Li: 0.6487 0.6487 0.0000
Si: 0.0000 0.0000 0.0000

Results
**Space group**: I4/mmm
**Energy relative to the elements, uncorrected**: -143 meV per atom



DFT (PBE) results for Sr2CuSb2 after structural relaxation.

a b c (Å): 7.6910 7.6910 4.9682
angles (deg): 90.00 90.00 90.00
Atoms (fractional coordinates):
Sb: 0.3603 0.8603 0.0000
Sb: 0.8603 0.6397 0.0000
Sb: 0.6397 0.1397 0.0000
Sb: 0.1397 0.3603 0.0000
Cu: 0.0000 0.0000 0.0000
Cu: 0.5000 0.5000 0.0000
Sr: 0.1710 0.6710 0.5000
Sr: 0.6710 0.8290 0.5000
Sr: 0.8290 0.3290 0.5000
Sr: 0.3290 0.1710 0.5000

Results
**Space group**: P4/mbm
**Energy relative to the elements, uncorrected**: -511 meV per atom



DFT (PBE) results for CePr5Hg4 after structural relaxation.

a b c (Å): 3.8075 3.8075 20.3938
angles (deg): 90.00 90.00 90.00
Last column: magnetic moment on the atom in μB.
Atoms (fractional coordinates):
Ce: 0.0000 0.0000 0.0000  0.36
Pr: 0.5000 0.5000 0.1127  0.00
Pr: 0.5000 0.5000 0.3071  0.17
Pr: 0.5000 0.5000 0.5000  0.19
Pr: 0.5000 0.5000 0.6929  0.17
Pr: 0.5000 0.5000 0.8873  0.00
Hg: 0.0000 0.0000 0.2078  0.01
Hg: 0.0000 0.0000 0.4042  0.01
Hg: 0.0000 0.0000 0.5958  0.01
Hg: 0.0000 0.0000 0.7922  0.01

Results
**Space group**: P4/mmm
**Energy relative to the elements**: -0.35 eV/atom



DFT (PBE) results for CuNi6Ru after structural relaxation.

a b c (Å): 3.5824 3.5824 7.0869
angles (deg): 90.00 90.00 90.00
Last column: magnetic moment on the atom in μB.
Atoms (fractional coordinates):
Cu: 0.0000 0.0000 0.0000  0.00
Ni: 0.5000 0.5000 0.0000  0.35
Ni: 0.5000 0.5000 0.5000  0.25
Ni: 0.5000 0.0000 0.2488  0.21
Ni: 0.5000 0.0000 0.7512  0.21
Ni: 0.0000 0.5000 0.2488  0.21
Ni: 0.0000 0.5000 0.7512  0.21
Ru: 0.0000 0.0000 0.5000  0.37

Results
**Space group**: P4/mmm
**Excess energy over the best structure of this formula in the dataset**: 0 meV per atom
**Energy relative to the elements**: 0.06 eV/atom



DFT (PBE) results for TmMgAgPt after structural relaxation.

a b c (Å): 4.7947 4.7947 4.7947
angles (deg): 60.00 60.00 60.00
Atoms (fractional coordinates):
Mg: 0.0000 0.0000 0.0000
Tm: 0.5000 0.5000 0.5000
Ag: 0.7500 0.7500 0.7500
Pt: 0.2500 0.2500 0.2500

Results
**Space group**: F-43m
**Energy relative to the elements**: -0.71 eV/atom



DFT (PBE) results for Tb2Ni5Pt5 after structural relaxation.

a b c (Å): 4.2563 5.0514 9.0246
angles (deg): 90.00 90.00 90.00
Last column: magnetic moment on the atom in μB.
Atoms (fractional coordinates):
Tb: 0.0000 0.5000 0.0000  -0.03
Tb: 0.0000 0.0000 0.5000  -0.04
Ni: 0.5000 0.5000 0.5000  0.41
Ni: 0.5000 0.7486 0.2574  0.37
Ni: 0.5000 0.2514 0.7426  0.37
Ni: 0.5000 0.2514 0.2574  0.37
Ni: 0.5000 0.7486 0.7426  0.37
Pt: 0.0000 0.5000 0.3350  0.09
Pt: 0.0000 0.0000 0.8204  0.06
Pt: 0.0000 0.0000 0.1796  0.06
Pt: 0.0000 0.5000 0.6650  0.09
Pt: 0.5000 0.0000 0.0000  0.09

Results
**Space group**: Pmmm
**Energy relative to the elements**: -0.58 eV/atom



DFT (PBE) results for BaCrSe after structural relaxation.

a b c (Å): 6.4777 6.4786 3.7682
angles (deg): 73.08 73.10 33.82
Last column: magnetic moment on the atom in μB.
Atoms (fractional coordinates):
Ba: 0.0007 0.0007 0.9993  0.14
Cr: 0.7148 0.7148 0.2852  3.94
Se: 0.2845 0.2845 0.7155  -0.04

Results
**Space group**: I4mm
**Excess energy over the best structure of this formula in the dataset**: 310 meV per atom
**Energy relative to the elements, uncorrected**: -233 meV per atom



DFT (PBE) results for Dy8Ho5In after structural relaxation.

a b c (Å): 8.3659 8.3660 8.3659
angles (deg): 110.27 107.89 110.27
Atoms (fractional coordinates):
Dy: 0.1650 0.7283 0.0690
Dy: 0.9310 0.0960 0.6594
Dy: 0.7379 0.2592 0.3441
Dy: 0.6559 0.3938 0.9151
Dy: 0.5213 0.6062 0.2621
Dy: 0.5633 0.9040 0.8350
Dy: 0.3406 0.2717 0.4367
Dy: 0.0849 0.7408 0.4787
Ho: 0.0207 0.3100 0.1261
Ho: 0.8739 0.8946 0.1839
Ho: 0.8161 0.6900 0.7108
Ho: 0.5000 0.0000 0.5000
Ho: 0.2892 0.1054 0.9793
In: 0.2500 0.5000 0.7500

Results
**Space group**: I-4
**Energy relative to the elements**: 0.19 eV/atom



DFT (PBE) results for Dy2YPb after structural relaxation.

a b c (Å): 4.9012 4.8371 4.8371
angles (deg): 90.00 90.00 90.00
Atoms (fractional coordinates):
Pb: 0.5000 0.5000 0.5000
Y: 0.5000 0.0000 0.0000
Dy: 0.0000 0.0000 0.5000
Dy: 0.0000 0.5000 0.0000

Results
**Space group**: P4/mmm
**Excess energy over the best structure of this formula in the dataset**: 0 meV per atom
**Energy relative to the elements**: -0.28 eV/atom



DFT (PBE) results for MnOs2Au after structural relaxation.

a b c (Å): 4.3775 4.3775 4.3775
angles (deg): 60.00 60.00 60.00
Last column: magnetic moment on the atom in μB.
Atoms (fractional coordinates):
Os: 0.2500 0.2500 0.2500  -0.11
Os: 0.7500 0.7500 0.7500  -0.11
Mn: 0.0000 0.0000 0.0000  2.82
Au: 0.5000 0.5000 0.5000  0.00

Results
**Space group**: Fm-3m
**Excess energy over the best structure of this formula in the dataset**: 416 meV per atom
**Energy relative to the elements**: 0.64 eV/atom



DFT (PBE) results for PmPuTh2Sb4 after structural relaxation.

a b c (Å): 8.9808 8.9808 8.9682
angles (deg): 119.95 119.95 89.99
Last column: magnetic moment on the atom in μB.
Atoms (fractional coordinates):
Pm: 0.0000 0.5000 0.0000  0.02
Pm: 0.0000 0.5000 0.5000  0.02
Pu: 0.5000 0.5000 0.5000  5.38
Pu: 0.0000 0.0000 0.0000  5.38
Th: 0.5000 0.0000 0.0000  0.04
Th: 0.5000 0.0000 0.5000  0.04
Th: 0.0000 0.0000 0.5000  0.04
Th: 0.5000 0.5000 0.0000  0.04
Sb: 0.2480 0.7506 0.9993  -0.01
Sb: 0.7494 0.2520 0.5007  -0.01
Sb: 0.2506 0.7480 0.4993  -0.01
Sb: 0.7520 0.2494 0.0007  -0.01
Sb: 0.7504 0.7496 0.9970  -0.03
Sb: 0.7504 0.7496 0.5030  -0.03
Sb: 0.2496 0.2504 0.4970  -0.03
Sb: 0.2496 0.2504 0.0030  -0.03

Results
**Space group**: Imma
**Energy relative to the elements, uncorrected**: -936 meV per atom



DFT (PBE) results for CaH3Ir after structural relaxation.

a b c (Å): 16.8278 5.0942 6.6019
angles (deg): 90.00 158.95 90.00
Atoms (fractional coordinates):
H: 0.2041 0.0553 0.7078
H: 0.7959 0.9447 0.2922
H: 0.2959 0.5553 0.7922
H: 0.7041 0.4447 0.2078
H: 0.3344 0.2498 0.3363
H: 0.6656 0.7502 0.6637
H: 0.1656 0.7498 0.1637
H: 0.8344 0.2502 0.8363
H: 0.5724 0.9008 0.0740
H: 0.4276 0.0992 0.9260
H: 0.9276 0.4008 0.4260
H: 0.0724 0.5992 0.5740
Ca: 0.4031 0.7498 0.4075
Ca: 0.5969 0.2502 0.5925
Ca: 0.0969 0.2498 0.0925
Ca: 0.9031 0.7502 0.9075
Ir: 0.0805 0.2504 0.5827
Ir: 0.9195 0.7496 0.4173
Ir: 0.4195 0.7504 0.9173
Ir: 0.5805 0.2496 0.0827

Results
**Space group**: P2_1/c



DFT (PBE) results for AcYSe3 after structural relaxation.

a b c (Å): 4.3140 8.0361 16.2578
angles (deg): 90.00 90.00 90.00
Atoms (fractional coordinates):
Ac: 0.7500 0.8611 0.8023
Ac: 0.2500 0.1389 0.1977
Ac: 0.7500 0.3611 0.6977
Ac: 0.2500 0.6389 0.3023
Y: 0.2500 0.2788 0.9572
Y: 0.2500 0.7788 0.5428
Y: 0.7500 0.2212 0.4572
Y: 0.7500 0.7212 0.0428
Se: 0.2500 0.3703 0.5547
Se: 0.7500 0.8453 0.2119
Se: 0.7500 0.4897 0.8964
Se: 0.7500 0.9897 0.6036
Se: 0.7500 0.6297 0.4453
Se: 0.2500 0.0103 0.3964
Se: 0.2500 0.8703 0.9453
Se: 0.7500 0.3453 0.2881
Se: 0.2500 0.6547 0.7119
Se: 0.2500 0.1547 0.7881
Se: 0.7500 0.1297 0.0547
Se: 0.2500 0.5103 0.1036

Results
**Space group**: Pnma
**Excess energy over the best structure of this formula in the dataset**: 0 meV per atom
**Energy relative to the elements, uncorrected**: -1963 meV per atom



Number 1: uncorrected energy -26.47 eV/cell, spin magnetization 0.00 Bohr magnetons per cell. Number 2: uncorrected energy -26.37 eV/cell, spin magnetization 0.00 Bohr magnetons per cell. Number 3: uncorrected energy -51.32 eV/cell, spin magnetization 0.00 Bohr magnetons per cell. Number 4: uncorrected energy -22.19 eV/cell, spin magnetization 1.80 Bohr magnetons per cell. Number 5: uncorrected energy -33.59 eV/cell, spin magnetization 0.00 Bohr magnetons per cell. Number 6: uncorrected energy -14.06 eV/cell, spin magnetization 4.77 Bohr magnetons per cell. Number 7: uncorrected energy -80.23 eV/cell, spin magnetization 0.99 Bohr magnetons per cell. Number 8: uncorrected energy -9.68 eV/cell, spin magnetization 0.00 Bohr magnetons per cell. Number 9: uncorrected energy -36.52 eV/cell, spin magnetization 0.00 Bohr magnetons per cell. Number 10: uncorrected energy -34.58 eV/cell, spin magnetization 1.52 Bohr magnetons per cell. Number 11: uncorrected energy -47.56 eV/cell, spin magnetization 1.73 Bohr magnetons per cell. Number 12: uncorrected energy -17.80 eV/cell, spin magnetization 0.00 Bohr magnetons per cell. Number 13: uncorrected energy -75.34 eV/cell, spin magnetization 2.09 Bohr magnetons per cell. Number 14: uncorrected energy -15.73 eV/cell, spin magnetization 4.97 Bohr magnetons per cell. Number 15: uncorrected energy -59.83 eV/cell, spin magnetization 0.00 Bohr magnetons per cell. Number 16: uncorrected energy -20.50 eV/cell, spin magnetization 0.00 Bohr magnetons per cell. Number 17: uncorrected energy -32.34 eV/cell, spin magnetization 2.67 Bohr magnetons per cell. Number 18: uncorrected energy -115.80 eV/cell, spin magnetization 11.61 Bohr magnetons per cell. Number 19: uncorrected energy -91.56 eV/cell, spin magnetization 0.00 Bohr magnetons per cell. Number 20: uncorrected energy -123.36 eV/cell, spin magnetization 0.00 Bohr magnetons per cell.